A geometry-optimized Pm2In12Pt7 structure, computed with PBE.

Values from the calculation:
Its density of states at the Fermi level is 6.38 states/eV/f.u. The total energy is -96.4 eV/cell. For the formation energy, the calculation gives -560.5 meV/atom. For the density, the calculation gives 11.08 g/cm3.

Cell and atoms, written as CIF:
```
data_Pm2In12Pt7
_space_group_name_H-M_alt 'P -6'
_space_group_IT_number 174
_cell_length_a 11.3563
_cell_length_b 11.3563
_cell_length_c 4.0720
_cell_angle_alpha 90.00
_cell_angle_beta 90.00
_cell_angle_gamma 120.00
loop_
_space_group_symop_operation_xyz
'x,y,z'
'-x+y,-x,-z'
'-y,x-y,z'
'x,y,-z'
'-x+y,-x,z'
'-y,x-y,-z'
loop_
_atom_site_label
_atom_site_type_symbol
_atom_site_fract_x
_atom_site_fract_y
_atom_site_fract_z
Pm1 Pm 0.0000 0.0000 0.0000
Pm2 Pm 0.3333 0.6667 0.5000
In1 In 0.0495 0.2787 0.5000
In2 In 0.1117 0.7172 0.0000
In3 In 0.3892 0.1726 0.0000
In4 In 0.5301 0.4216 0.5000
Pt1 Pt 0.0784 0.4638 0.0000
Pt2 Pt 0.2434 0.2055 0.5000
Pt3 Pt 0.6667 0.3333 0.0000
```